Entry from the Alexandria database: a relaxed V2BOs crystal (PBE).

a b c (Å): 5.329 5.329 5.329
angles (deg): 99.31 99.31 132.55
Atoms (fractional coordinates):
V: 0.025 0.125 0.400
V: 0.375 0.975 0.100
V: 0.725 0.625 0.600
V: 0.875 0.275 0.900
B: 0.000 0.000 0.000
B: 0.750 0.250 0.500
Os: 0.250 0.750 0.500
Os: 0.500 0.500 0.000

Values from the calculation:
**E_form**: 0.13 eV per atom
**Space group**: No. 122

---

Entry from the Alexandria database: a relaxed Sn5Rh crystal (PBE).

a b c (Å): 8.332 8.332 8.332
angles (deg): 133.11 133.11 68.48
Atoms (fractional coordinates):
Sn: 0.000 0.000 0.000
Sn: 0.008 0.508 0.820
Sn: 0.188 0.008 0.500
Sn: 0.312 0.812 0.820
Sn: 0.492 0.312 0.500
Sn: 0.500 0.500 0.000
Sn: 0.508 0.688 0.500
Sn: 0.688 0.188 0.180
Sn: 0.812 0.992 0.500
Sn: 0.992 0.492 0.180
Rh: 0.250 0.250 0.000
Rh: 0.750 0.750 0.000

Values from the calculation:
**E_form**: -0.13 eV per atom
**Space group**: No. 140

---

Entry from the Alexandria database: a relaxed HoTm5TlIn2 crystal (PBE).

a b c (Å): 9.339 9.339 9.339
angles (deg): 126.51 126.51 79.05
Atoms (fractional coordinates):
Ho: 0.250 0.750 0.500
Ho: 0.750 0.250 0.500
Tm: 0.000 0.000 0.000
Tm: 0.077 0.577 0.924
Tm: 0.154 0.077 0.500
Tm: 0.346 0.846 0.924
Tm: 0.423 0.346 0.500
Tm: 0.500 0.500 0.000
Tm: 0.577 0.654 0.500
Tm: 0.654 0.154 0.076
Tm: 0.846 0.923 0.500
Tm: 0.923 0.423 0.076
Tl: 0.250 0.250 0.000
Tl: 0.750 0.750 0.000
In: 0.112 0.388 0.500
In: 0.388 0.888 0.277
In: 0.612 0.112 0.723
In: 0.888 0.612 0.500

Values from the calculation:
**E_form**: -0.01 eV per atom
**Space group**: No. 140

---

Entry from the Alexandria database: a relaxed SrPa3Cu4O12 crystal (PBE).

a b c (Å): 7.128 7.128 7.128
angles (deg): 105.08 105.08 105.08
Atoms (fractional coordinates):
Sr: 0.000 0.000 0.000
Pa: 0.000 0.554 0.446
Pa: 0.446 0.000 0.554
Pa: 0.554 0.446 0.000
Cu: 0.069 0.500 0.931
Cu: 0.500 0.500 0.500
Cu: 0.500 0.931 0.069
Cu: 0.931 0.069 0.500
O: 0.008 0.647 0.758
O: 0.104 0.896 0.500
O: 0.242 0.353 0.992
O: 0.335 0.665 0.500
O: 0.353 0.992 0.242
O: 0.500 0.104 0.896
O: 0.500 0.335 0.665
O: 0.647 0.758 0.008
O: 0.665 0.500 0.335
O: 0.758 0.008 0.647
O: 0.896 0.500 0.104
O: 0.992 0.242 0.353

Values from the calculation:
**E_form (uncorrected)**: -45.61 eV per formula unit
**Space group**: No. 155

---

Entry from the Alexandria database: a relaxed CsSmAu2I6 crystal (PBE).

a b c (Å): 7.735 7.784 8.298
angles (deg): 101.01 102.18 94.51
Atoms (fractional coordinates):
Cs: 0.000 0.000 0.000
Sm: 0.586 0.552 0.559
Au: 0.384 0.021 0.700
Au: 0.949 0.499 0.294
I: 0.257 0.667 0.303
I: 0.264 0.256 0.537
I: 0.472 0.785 0.875
I: 0.655 0.289 0.251
I: 0.792 0.867 0.504
I: 0.864 0.452 0.819

Values from the calculation:
**E_form (uncorrected)**: -8.76 eV per formula unit
**Space group**: No. 1

---

Entry from the Alexandria database: a relaxed CuAs2Se crystal (PBE).

a b c (Å): 3.789 3.789 6.963
angles (deg): 90.11 90.11 59.94
Atoms (fractional coordinates):
Cu: 0.000 0.000 0.000
As: 0.000 0.000 0.654
As: 0.666 0.666 0.465
Se: 0.334 0.334 0.128

Values from the calculation:
**E_form (uncorrected)**: -0.20 eV per formula unit
**Space group**: No. 8

---

| no. | M_tot (μB/atom) |
| --- | --- |
| 1 | 0.000 |
| 2 | 0.000 |
| 3 | 0.000 |
| 4 | 0.145 |
| 5 | 0.000 |
| 6 | 0.000 |